Density functional theory data (GGA-PBE) for a geometry-optimized La3Rh7Au2 structure.

The space-group type is R-3m (166). The value obtained for the energy of formation from the pure elements is -579 meV per atom.

Cell: 5.4386 5.4386 9.4847 Å, 73.34 73.34 60.00°
Sites, in units of the cell vectors:
Rh 0.5000 0.5000 0.5000
Rh 0.5873 0.5873 0.7426
Rh 0.0829 0.5873 0.7426
Rh 0.4127 0.4127 0.2574
Rh 0.5873 0.0829 0.7426
Rh 0.9171 0.4127 0.2574
Rh 0.4127 0.9171 0.2574
La 0.1392 0.1392 0.5824
La 0.0000 0.0000 0.0000
La 0.8608 0.8608 0.4176
Au 0.3335 0.3335 0.9995
Au 0.6665 0.6665 0.0005